Entry 1:
# BaSc3Rh (PBE-GGA, relaxed)
# E above lowest polymorph (eV per formula unit): 0.00
# Formation enthalpy at 0 K (eV per formula unit): -1.19
# V (Å³ per atom): 28.312
# DOS at the Fermi energy (states/eV/f.u.): 5.95
# VASP energy (eV per atom): -5.892
data_BaSc3Rh
_chemical_formula_sum 'Ba1 Sc3 Rh1'
_cell_length_a 5.212
_cell_length_b 5.212
_cell_length_c 5.212
_cell_angle_alpha 90.00
_cell_angle_beta 90.00
_cell_angle_gamma 90.00
_symmetry_space_group_name_H-M 'P m -3 m'
_symmetry_Int_Tables_number 221
_symmetry_space_group_name_Hall '-P 4 2 3'
loop_
_atom_site_label
_atom_site_type_symbol
_atom_site_fract_x
_atom_site_fract_y
_atom_site_fract_z
Ba1 Ba 0.000 0.000 0.000
Sc1 Sc 0.000 0.500 0.500
Rh1 Rh 0.500 0.500 0.500

Entry 2:
# Ba4ScRh (PBE-GGA, relaxed)
# Formation enthalpy at 0 K (eV per formula unit): 5.43
# V (Å³ per atom): 41.085
# DOS at the Fermi energy (states/eV/f.u.): 9.27
# VASP energy (eV per atom): -2.658
data_Ba4ScRh
_chemical_formula_sum 'Ba16 Sc4 Rh4'
_cell_length_a 9.953
_cell_length_b 9.953
_cell_length_c 9.953
_cell_angle_alpha 90.00
_cell_angle_beta 90.00
_cell_angle_gamma 90.00
_symmetry_space_group_name_H-M 'F -4 3 m'
_symmetry_Int_Tables_number 216
_symmetry_space_group_name_Hall 'F -4 2 3'
loop_
_atom_site_label
_atom_site_type_symbol
_atom_site_fract_x
_atom_site_fract_y
_atom_site_fract_z
Ba1 Ba 0.124 0.124 0.124
Sc1 Sc 0.000 0.000 0.500
Rh1 Rh 0.250 0.250 0.750

Entry 3:
# BaSc2Rh2 (PBE-GGA, relaxed)
# E above lowest polymorph (eV per formula unit): 0.00
# Formation enthalpy at 0 K (eV per formula unit): -2.94
# V (Å³ per atom): 23.808
# DOS at the Fermi energy (states/eV/f.u.): 2.07
# VASP energy (eV per atom): -6.446
data_BaSc2Rh2
_chemical_formula_sum 'Ba2 Sc4 Rh4'
_cell_length_a 4.477
_cell_length_b 4.477
_cell_length_c 11.880
_cell_angle_alpha 90.00
_cell_angle_beta 90.00
_cell_angle_gamma 90.00
_symmetry_space_group_name_H-M 'I 4/m m m'
_symmetry_Int_Tables_number 139
_symmetry_space_group_name_Hall '-I 4 2'
loop_
_atom_site_label
_atom_site_type_symbol
_atom_site_fract_x
_atom_site_fract_y
_atom_site_fract_z
Ba1 Ba 0.000 0.000 0.000
Sc1 Sc 0.000 0.500 0.250
Rh1 Rh 0.000 0.000 0.380

Entry 4:
# BaSc2Rh2 (PBE-GGA, relaxed)
# E above lowest polymorph (eV per formula unit): 0.97
# Formation enthalpy at 0 K (eV per formula unit): -1.98
# V (Å³ per atom): 25.666
# DOS at the Fermi energy (states/eV/f.u.): 5.86
# VASP energy (eV per atom): -6.253
data_BaSc2Rh2
_chemical_formula_sum 'Ba2 Sc4 Rh4'
_cell_length_a 4.760
_cell_length_b 4.760
_cell_length_c 11.329
_cell_angle_alpha 90.00
_cell_angle_beta 90.00
_cell_angle_gamma 90.00
_symmetry_space_group_name_H-M 'I 4/m m m'
_symmetry_Int_Tables_number 139
_symmetry_space_group_name_Hall '-I 4 2'
loop_
_atom_site_label
_atom_site_type_symbol
_atom_site_fract_x
_atom_site_fract_y
_atom_site_fract_z
Ba1 Ba 0.000 0.000 0.000
Sc1 Sc 0.000 0.000 0.341
Rh1 Rh 0.000 0.500 0.250

Entry 5:
# BaSc4Rh (PBE-GGA, relaxed)
# Formation enthalpy at 0 K (eV per formula unit): 2.96
# V (Å³ per atom): 25.591
# DOS at the Fermi energy (states/eV/f.u.): 10.75
# VASP energy (eV per atom): -5.273
data_BaSc4Rh
_chemical_formula_sum 'Ba4 Sc16 Rh4'
_cell_length_a 8.500
_cell_length_b 8.500
_cell_length_c 8.500
_cell_angle_alpha 90.00
_cell_angle_beta 90.00
_cell_angle_gamma 90.00
_symmetry_space_group_name_H-M 'F -4 3 m'
_symmetry_Int_Tables_number 216
_symmetry_space_group_name_Hall 'F -4 2 3'
loop_
_atom_site_label
_atom_site_type_symbol
_atom_site_fract_x
_atom_site_fract_y
_atom_site_fract_z
Ba1 Ba 0.000 0.000 0.000
Sc1 Sc 0.123 0.123 0.377
Rh1 Rh 0.250 0.250 0.750

Entry 6:
# BaSc3Rh (PBE-GGA, relaxed)
# E above lowest polymorph (eV per formula unit): 8.56
# Formation enthalpy at 0 K (eV per formula unit): 7.37
# V (Å³ per atom): 26.908
# DOS at the Fermi energy (states/eV/f.u.): 5.97
# VASP energy (eV per atom): -4.180
data_BaSc3Rh
_chemical_formula_sum 'Ba1 Sc3 Rh1'
_cell_length_a 5.124
_cell_length_b 5.124
_cell_length_c 5.124
_cell_angle_alpha 90.00
_cell_angle_beta 90.00
_cell_angle_gamma 90.00
_symmetry_space_group_name_H-M 'P m -3 m'
_symmetry_Int_Tables_number 221
_symmetry_space_group_name_Hall '-P 4 2 3'
loop_
_atom_site_label
_atom_site_type_symbol
_atom_site_fract_x
_atom_site_fract_y
_atom_site_fract_z
Ba1 Ba 0.000 0.000 0.000
Sc1 Sc 0.000 0.000 0.500
Rh1 Rh 0.500 0.500 0.500